No. 1
First-principles (PBEsol) data for a geometry-optimized MnCd2Ru structure, as listed in Alexandria via LeMat-Bulk.

## Properties
Final energy (eV/cell): -63.69
Polymorph energy (0 for the lowest one) (kJ/mol of formula units): 42
DFT formation energy (eV per atom): 0.274

a = 2.8454 Å, b = 2.8454 Å, c = 27.6582 Å
α = 90.00°, β = 90.00°, γ = 120.00°
Space group R3m (No. 160, hexagonal axes)
Inequivalent atoms, fractional coordinates:
Mn (0.0000, 0.0000, 0.0000) (multiplicity 3)
Cd (0.0000, 0.0000, 0.2495) (multiplicity 3)
Cd (0.0000, 0.0000, 0.4851) (multiplicity 3)
Ru (0.0000, 0.0000, 0.7319) (multiplicity 3)


No. 2
First-principles (PBEsol) data for a geometry-optimized Tl2Te2O5 structure, as listed in Alexandria via LeMat-Bulk.

## Properties
Final energy (eV/cell): -189.03
Raw formation energy (eV/atom): -0.97

a = 7.154 Å, b = 11.860 Å, c = 8.393 Å
α = 90.00°, β = 114.53°, γ = 90.00°
Space group P2_1/c (No. 14)
Inequivalent atoms, fractional coordinates:
Tl (0.010, 0.211, 0.285) (multiplicity 4)
Tl (0.283, 0.559, 0.017) (multiplicity 4)
Te (0.283, 0.028, 0.003) (multiplicity 4)
Te (0.438, 0.203, 0.712) (multiplicity 4)
O (0.212, 0.173, 0.096) (multiplicity 4)
O (0.223, 0.123, 0.744) (multiplicity 4)
O (0.374, 0.153, 0.481) (multiplicity 4)
O (0.383, 0.548, 0.733) (multiplicity 4)
O (0.449, 0.598, 0.430) (multiplicity 4)


No. 3
First-principles (PBEsol) data for a geometry-optimized Ir3Os structure, as listed in Alexandria via LeMat-Bulk.

## Properties
Final energy (eV/cell): -41.64
DFT formation energy (eV per atom): 0.011

a = 2.705 Å, b = 2.705 Å, c = 7.666 Å
α = 90.00°, β = 90.00°, γ = 90.00°
Space group P4/mmm (No. 123)
Inequivalent atoms, fractional coordinates:
Ir (0.000, 0.000, 0.000) (multiplicity 1)
Ir (0.500, 0.500, 0.253) (multiplicity 2)
Os (0.000, 0.000, 0.500) (multiplicity 1)


No. 4
First-principles (PBEsol) data for a geometry-optimized Fe2SiCl structure, as listed in Alexandria via LeMat-Bulk.

## Properties
Final energy (eV/cell): -96.68
Polymorph energy (0 for the lowest one) (kJ/mol of formula units): 121
Raw formation energy (eV/atom): 0.38

a = 5.745 Å, b = 5.745 Å, c = 5.745 Å
α = 90.00°, β = 90.00°, γ = 90.00°
Space group Fm-3m (No. 225)
Inequivalent atoms, fractional coordinates:
Fe (0.250, 0.250, 0.250) (multiplicity 8)
Si (0.000, 0.000, 0.000) (multiplicity 4)
Cl (0.000, 0.000, 0.500) (multiplicity 4)


No. 5
First-principles (PBEsol) data for a geometry-optimized Li3Co2P5O16 structure, as listed in Alexandria via LeMat-Bulk.

## Properties
Final energy (eV/cell): -372.40
Raw formation energy (eV/atom): -2.00

a = 4.969 Å, b = 6.803 Å, c = 17.995 Å
α = 90.00°, β = 92.71°, γ = 90.00°
Space group P2/c (No. 13)
Inequivalent atoms, fractional coordinates:
Li (0.000, 0.016, 0.250) (multiplicity 2)
Li (0.238, 0.318, 0.967) (multiplicity 4)
Co (0.235, 0.177, 0.410) (multiplicity 4)
P (0.236, 0.466, 0.124) (multiplicity 4)
P (0.275, 0.123, 0.586) (multiplicity 4)
P (0.500, 0.240, 0.250) (multiplicity 2)
O (0.065, 0.452, 0.392) (multiplicity 4)
O (0.117, 0.203, 0.517) (multiplicity 4)
O (0.121, 0.026, 0.130) (multiplicity 4)
O (0.303, 0.385, 0.205) (multiplicity 4)
O (0.311, 0.312, 0.642) (multiplicity 4)
O (0.321, 0.128, 0.300) (multiplicity 4)
O (0.413, 0.373, 0.067) (multiplicity 4)
O (0.432, 0.076, 0.930) (multiplicity 4)


No. 6
First-principles (PBEsol) data for a geometry-optimized ZrTlP2 structure, as listed in Alexandria via LeMat-Bulk.

## Properties
Final energy (eV/cell): -47.77
Polymorph energy (0 for the lowest one) (kJ/mol of formula units): 94
DFT formation energy (eV per atom): -0.145

a = 5.102 Å, b = 5.102 Å, c = 5.754 Å
α = 90.00°, β = 90.00°, γ = 90.00°
Space group I4/mmm (No. 139)
Inequivalent atoms, fractional coordinates:
Zr (0.000, 0.000, 0.000) (multiplicity 2)
Tl (0.000, 0.000, 0.500) (multiplicity 2)
P (0.000, 0.500, 0.250) (multiplicity 4)


No. 7
First-principles (PBEsol) data for a geometry-optimized BaZrAl2 structure, as listed in Alexandria via LeMat-Bulk.

## Properties
Final energy (eV/cell): -19.94
Polymorph energy (0 for the lowest one) (kJ/mol of formula units): 0
DFT formation energy (eV per atom): -0.130

a = 3.232 Å, b = 3.232 Å, c = 9.042 Å
α = 90.00°, β = 90.00°, γ = 90.00°
Space group P4/mmm (No. 123)
Inequivalent atoms, fractional coordinates:
Ba (0.000, 0.000, 0.000) (multiplicity 1)
Zr (0.000, 0.000, 0.500) (multiplicity 1)
Al (0.500, 0.500, 0.292) (multiplicity 2)


No. 8
First-principles (PBEsol) data for a geometry-optimized CaZn structure, as listed in Alexandria via LeMat-Bulk.

## Properties
Final energy (eV/cell): -7.90
DFT formation energy (eV per atom): -0.116

a = 3.482 Å, b = 3.482 Å, c = 8.123 Å
α = 90.00°, β = 90.00°, γ = 90.00°
Space group P4/nmm (No. 129, origin choice 2)
Inequivalent atoms, fractional coordinates:
Ca (0.250, 0.250, 0.191) (multiplicity 2)
Zn (0.250, 0.250, 0.576) (multiplicity 2)


No. 9
First-principles (PBEsol) data for a geometry-optimized NbCoBr2 structure, as listed in Alexandria via LeMat-Bulk.

## Properties
Final energy (eV/cell): -80.95
Polymorph energy (0 for the lowest one) (kJ/mol of formula units): 52
Raw formation energy (eV/atom): 0.52

a = 6.358 Å, b = 6.358 Å, c = 6.358 Å
α = 90.00°, β = 90.00°, γ = 90.00°
Space group Fm-3m (No. 225)
Inequivalent atoms, fractional coordinates:
Nb (0.000, 0.000, 0.000) (multiplicity 4)
Co (0.000, 0.000, 0.500) (multiplicity 4)
Br (0.250, 0.250, 0.250) (multiplicity 8)


No. 10
First-principles (PBEsol) data for a geometry-optimized KInH8C4O12 structure, as listed in Alexandria via LeMat-Bulk.

## Properties
Final energy (eV/cell): -654.54

a = 11.119 Å, b = 11.119 Å, c = 8.753 Å
α = 90.00°, β = 90.00°, γ = 90.00°
Space group I4_1/a (No. 88, origin choice 2)
Inequivalent atoms, fractional coordinates:
K (0.000, 0.250, 0.125) (multiplicity 4)
In (0.000, 0.250, 0.625) (multiplicity 4)
H (0.097, 0.005, 0.847) (multiplicity 16)
H (0.179, 0.498, 0.004) (multiplicity 16)
C (0.004, 0.477, 0.418) (multiplicity 16)
O (0.006, 0.055, 0.688) (multiplicity 16)
O (0.007, 0.365, 0.400) (multiplicity 16)
O (0.160, 0.456, 0.103) (multiplicity 16)


No. 11
First-principles (PBEsol) data for a geometry-optimized Cu6PbO8 structure, as listed in Alexandria via LeMat-Bulk.

## Properties
Final energy (eV/cell): -327.52
Raw formation energy (eV/atom): -0.66

a = 9.202 Å, b = 9.202 Å, c = 9.202 Å
α = 90.00°, β = 90.00°, γ = 90.00°
Space group Fm-3m (No. 225)
Inequivalent atoms, fractional coordinates:
Cu (0.000, 0.250, 0.250) (multiplicity 24)
Pb (0.000, 0.000, 0.000) (multiplicity 4)
O (0.144, 0.144, 0.144) (multiplicity 32)


No. 12
First-principles (PBEsol) data for a geometry-optimized Re2SiAg structure, as listed in Alexandria via LeMat-Bulk.

## Properties
Final energy (eV/cell): -68.52
Raw formation energy (eV/atom): 0.36

a = 2.872 Å, b = 4.651 Å, c = 9.018 Å
α = 90.00°, β = 90.00°, γ = 90.00°
Space group Cmm2 (No. 35)
Inequivalent atoms, fractional coordinates:
Re (0.000, 0.000, 0.000) (multiplicity 2)
Re (0.000, 0.500, 0.240) (multiplicity 2)
Si (0.000, 0.500, 0.772) (multiplicity 2)
Ag (0.000, 0.000, 0.518) (multiplicity 2)


No. 13
First-principles (PBEsol) data for a geometry-optimized Dy2B6Rh9 structure, as listed in Alexandria via LeMat-Bulk.

## Properties
Final energy (eV/cell): -136.60
DFT formation energy (eV per atom): -0.665

a = 5.5276 Å, b = 5.5276 Å, c = 8.4762 Å
α = 90.00°, β = 90.00°, γ = 120.00°
Space group P6/mmm (No. 191)
Inequivalent atoms, fractional coordinates:
Dy (0.0000, 0.0000, 0.2054) (multiplicity 2)
B (0.3333, 0.6667, 0.1674) (multiplicity 4)
B (0.3333, 0.6667, 0.5000) (multiplicity 2)
Rh (0.0000, 0.5000, 0.0000) (multiplicity 3)
Rh (0.0000, 0.5000, 0.3358) (multiplicity 6)


No. 14
First-principles (PBEsol) data for a geometry-optimized LaFeNi4 structure, as listed in Alexandria via LeMat-Bulk.

## Properties
Final energy (eV/cell): -40.00
DFT formation energy (eV per atom): -0.177

a = 4.9467 Å, b = 4.9467 Å, c = 3.9166 Å
α = 90.00°, β = 90.00°, γ = 120.00°
Space group P-6m2 (No. 187)
Inequivalent atoms, fractional coordinates:
La (0.0000, 0.0000, 0.0000) (multiplicity 1)
Fe (0.6667, 0.3333, 0.0000) (multiplicity 1)
Ni (0.0003, 0.5002, 0.5000) (multiplicity 3)
Ni (0.3333, 0.6667, 0.0000) (multiplicity 1)


No. 15
First-principles (PBEsol) data for a geometry-optimized La3VH3O8 structure, as listed in Alexandria via LeMat-Bulk.

## Properties
Final energy (eV/cell): -233.33

a = 5.641 Å, b = 10.577 Å, c = 6.337 Å
α = 90.00°, β = 104.38°, γ = 90.00°
Space group P2_1/m (No. 11)
Inequivalent atoms, fractional coordinates:
La (0.189, 0.043, 0.301) (multiplicity 4)
La (0.277, 0.250, 0.801) (multiplicity 2)
V (0.307, 0.750, 0.530) (multiplicity 2)
H (0.133, 0.750, 0.906) (multiplicity 2)
H (0.348, 0.544, 0.901) (multiplicity 4)
O (0.041, 0.250, 0.090) (multiplicity 2)
O (0.041, 0.633, 0.460) (multiplicity 4)
O (0.236, 0.021, 0.930) (multiplicity 4)
O (0.437, 0.750, 0.804) (multiplicity 2)
O (0.489, 0.628, 0.405) (multiplicity 4)


No. 16
First-principles (PBEsol) data for a geometry-optimized TlMo4Se structure, as listed in Alexandria via LeMat-Bulk.

## Properties
Final energy (eV/cell): -198.73
Raw formation energy (eV/atom): 0.64

a = 7.475 Å, b = 7.475 Å, c = 7.475 Å
α = 90.00°, β = 90.00°, γ = 90.00°
Space group F-43m (No. 216)
Inequivalent atoms, fractional coordinates:
Tl (0.000, 0.000, 0.000) (multiplicity 4)
Mo (0.123, 0.123, 0.377) (multiplicity 16)
Se (0.250, 0.250, 0.750) (multiplicity 4)


No. 17
First-principles (PBEsol) data for a geometry-optimized Y3Hg structure, as listed in Alexandria via LeMat-Bulk.

## Properties
Final energy (eV/cell): -88.78
DFT formation energy (eV per atom): -0.291

a = 6.885 Å, b = 9.923 Å, c = 6.632 Å
α = 90.00°, β = 90.00°, γ = 90.00°
Space group Pnma (No. 62)
Inequivalent atoms, fractional coordinates:
Y (0.005, 0.250, 0.110) (multiplicity 4)
Y (0.196, 0.544, 0.310) (multiplicity 8)
Hg (0.089, 0.250, 0.549) (multiplicity 4)


No. 18
First-principles (PBEsol) data for a geometry-optimized Ca2CdTe structure, as listed in Alexandria via LeMat-Bulk.

## Properties
Final energy (eV/cell): -24.25
Raw formation energy (eV/atom): -0.78

a = 4.439 Å, b = 4.401 Å, c = 11.911 Å
α = 90.00°, β = 90.00°, γ = 90.00°
Space group Amm2 (No. 38)
Inequivalent atoms, fractional coordinates:
Ca (0.000, 0.000, 0.000) (multiplicity 2)
Ca (0.500, 0.000, 0.277) (multiplicity 2)
Cd (0.000, 0.000, 0.740) (multiplicity 2)
Te (0.500, 0.000, 0.548) (multiplicity 2)


No. 19
First-principles (PBEsol) data for a geometry-optimized Mg2InCo structure, as listed in Alexandria via LeMat-Bulk.

## Properties
Final energy (eV/cell): -13.63
DFT formation energy (eV per atom): 0.132

a = 3.045 Å, b = 4.346 Å, c = 5.654 Å
α = 90.00°, β = 105.76°, γ = 90.00°
Space group Pm (No. 6)
Inequivalent atoms, fractional coordinates:
Mg (0.000, 0.000, 0.000) (multiplicity 1)
Mg (0.346, 0.500, 0.689) (multiplicity 1)
In (0.725, 0.000, 0.448) (multiplicity 1)
Co (0.595, 0.500, 0.189) (multiplicity 1)